Ac6Sb2Se3S after structural relaxation, computed with PBE.

Computed properties:
ρ in g cm⁻³: 7.7
Total magnetization in Bohr magnetons per cell: 0.00
E_form (uncorrected) in meV per atom: -1664
Total energy in eV per atom: -5.621

```
Ac6Sb2Se3S
1.0
-2.859 -2.526 2.508
6.730 -1.766 5.891
-2.664 9.534 2.411
Ac Sb Se S
6 2 3 1
Direct
0.664 0.590 0.328
0.336 0.410 0.672
0.340 0.928 0.680
0.660 0.072 0.320
0.004 0.764 0.008
0.996 0.236 0.992
0.165 0.332 0.330
0.835 0.668 0.670
0.171 0.836 0.342
0.829 0.164 0.658
0.500 0.500 0.000
0.500 0.000 0.000
```